1.
Computed, not measured: MgPW2 after structural relaxation at the GGA-PBE level of DFT.

a b c (Å): 10.0972 3.0518 4.6600
angles (deg): 90.00 117.27 90.00
Space group C2/m (No. 12)
Asymmetric unit:
Mg: 0.0000 0.0000 0.0000 x2
P: 0.0000 0.5000 0.5000 x2
W: 0.2117 0.0000 0.7117 x4

Calculated values
* crystal system: monoclinic
* E_form: 0.222 eV/atom
* raw total energy: -8.01 eV/atom

2.
Computed, not measured: PRhWS2 after structural relaxation at the GGA-PBE level of DFT.

a b c (Å): 4.5187 4.5187 4.4557
angles (deg): 90.00 90.00 90.00
Space group P4/mmm (No. 123)
Asymmetric unit:
P: 0.0000 0.0000 0.0000 x1
Rh: 0.0000 0.0000 0.5000 x1
W: 0.5000 0.5000 0.0000 x1
S: 0.0000 0.5000 0.5000 x2

Calculated values
* crystal system: tetragonal
* raw total energy: -5.58 eV/atom

3.
Computed, not measured: Al2In2I7 after structural relaxation at the GGA-PBE level of DFT.

a b c (Å): 7.2507 17.3070 8.9031
angles (deg): 90.00 98.48 90.00
Space group P2_1/c (No. 14)
Asymmetric unit:
Al: 0.1582 0.1127 0.3408 x4
In: 0.3775 0.6535 0.5781 x4
I: 0.0000 0.0000 0.5000 x2
I: 0.0845 0.7199 0.2630 x4
I: 0.2922 0.0563 0.1055 x4
I: 0.4325 0.1775 0.5234 x4

Calculated values
* crystal system: monoclinic
* raw total energy: -2.63 eV/atom

4.
Computed, not measured: Nd2HoH4 after structural relaxation at the GGA-PBE level of DFT.

a b c (Å): 4.0402 4.0402 13.3921
angles (deg): 90.00 90.00 90.00
Space group I4/mmm (No. 139)
Asymmetric unit:
Nd: 0.0000 0.0000 0.1644 x4
Ho: 0.0000 0.0000 0.5000 x2
H: 0.0000 0.0000 0.3368 x4
H: 0.0000 0.5000 0.0000 x4

Calculated values
* crystal system: tetragonal
* raw total energy: -4.21 eV/atom

5.
Computed, not measured: BaReAg2 after structural relaxation at the GGA-PBE level of DFT.

a b c (Å): 7.3046 7.3046 7.3046
angles (deg): 90.00 90.00 90.00
Space group Fm-3m (No. 225)
Asymmetric unit:
Ba: 0.0000 0.0000 0.0000 x4
Re: 0.0000 0.0000 0.5000 x4
Ag: 0.2500 0.2500 0.2500 x8

Calculated values
* crystal system: cubic
* E_form: 0.996 eV/atom
* raw total energy: -4.02 eV/atom

6.
Computed, not measured: LiLaMgZn2 after structural relaxation at the GGA-PBE level of DFT.

a b c (Å): 4.2055 4.2055 12.6480
angles (deg): 90.00 90.00 90.00
Space group I-4m2 (No. 119)
Asymmetric unit:
Li: 0.0000 0.0000 0.0000 x2
La: 0.0000 0.5000 0.2500 x2
Mg: 0.0000 0.0000 0.5000 x2
Zn: 0.0000 0.5000 0.6447 x4

Calculated values
* crystal system: tetragonal
* E_form: -0.201 eV/atom
* raw total energy: -2.40 eV/atom

7.
Computed, not measured: ZrAg2Cl after structural relaxation at the GGA-PBE level of DFT.

a b c (Å): 3.1012 4.5918 5.5237
angles (deg): 90.00 90.00 90.00
Space group Pmmm (No. 47)
Asymmetric unit:
Zr: 0.0000 0.0000 0.0000 x1
Ag: 0.0000 0.5000 0.5000 x1
Ag: 0.5000 0.0000 0.5000 x1
Cl: 0.5000 0.5000 0.0000 x1

Calculated values
* crystal system: orthorhombic
* raw total energy: -4.15 eV/atom

8.
Computed, not measured: LiCa2P after structural relaxation at the GGA-PBE level of DFT.

a b c (Å): 3.9975 3.9975 6.3095
angles (deg): 90.00 90.00 90.00
Space group P4mm (No. 99)
Asymmetric unit:
Li: 0.0000 0.0000 0.0000 x1
Ca: 0.0000 0.0000 0.4045 x1
Ca: 0.5000 0.5000 0.7842 x1
P: 0.5000 0.5000 0.2488 x1

Calculated values
* crystal system: tetragonal
* E_form: -0.398 eV/atom
* raw total energy: -3.23 eV/atom